Entry 1:
An optimized crystal structure of Ho2Zn3Cd3. Source: Alexandria, functional PBE.

Unit cell a=4.8687 b=4.8687 c=8.4515 alpha=73.26 beta=73.26 gamma=60.00
Last column: nearest neighbours and their distance in Å.
Fractional coordinates of all 8 atoms:
Ho1 0.0049 0.0049 0.9854  5 Zn 2.91-3.06, 3 Cd 3.03
Ho2 0.4958 0.4958 0.5126  7 Zn 2.94-3.03, 1 Cd 3.06
Zn1 0.1264 0.1264 0.6209  4 Cd 2.88-2.97, 4 Ho 2.91-2.94
Zn2 0.8768 0.8768 0.3696  4 Cd 2.94-2.97, 4 Ho 3.03-3.06
Zn3 0.3730 0.3730 0.8811  4 Ho 2.93-2.94, 4 Cd 3.01-3.02
Cd1 0.2469 0.2469 0.2594  5 Zn 2.88-3.01, 3 Cd 3.00
Cd2 0.7525 0.7525 0.7425  7 Zn 2.97-3.02, 1 Cd 3.08
Cd3 0.6238 0.6238 0.1286  4 Cd 3.00-3.08, 4 Ho 3.03-3.06

volume = 20.45 Å³/atom
total magnetization = 0.0000 μB per atom
formation energy = -0.275 eV per atom


Entry 2:
An optimized crystal structure of Ho2ZnCd3. Source: Alexandria, functional PBE.

Unit cell a=4.8815 b=3.4999 c=9.0786 alpha=101.11 beta=105.60 gamma=90.00
Last column: nearest neighbours and their distance in Å.
Fractional coordinates of all 6 atoms:
Ho1 0.1176 0.1176 0.2351  10 Cd 3.22-3.42, 2 Ho 3.50
Ho2 0.8935 0.3935 0.7870  4 Zn 3.10
Zn1 0.4382 0.9382 0.8763  3 Cd 2.58-2.59
Cd1 0.7132 0.7132 0.4263  3 Cd 2.76-2.80
Cd2 0.5497 0.5497 0.0995  2 Zn 2.59, 1 Cd 2.80
Cd3 0.2879 0.7879 0.5757  1 Zn 2.58, 2 Cd 2.76

offset from the most stable computed form = 0.1279 eV per atom
volume = 24.40 Å³/atom
total magnetization = 0.0000 μB per atom
formation energy = -0.178 eV per atom


> What is the formula in the first record?

Ho2Zn3Cd3